1.
VASP calculation (PBE) on a relaxed La2ScNi3Ge4 crystal.

```
La2ScNi3Ge4
1.0
4.206 0.000 0.000
0.000 4.206 0.000
0.000 0.000 10.675
La Sc Ni Ge
2 1 3 4
Direct
0.500 0.000 0.231
0.000 0.500 0.769
0.500 0.500 0.500
0.000 0.000 0.500
0.500 0.000 0.885
0.000 0.500 0.115
0.500 0.500 0.000
0.000 0.000 0.000
0.500 0.000 0.657
0.000 0.500 0.343
```

2.
VASP calculation (PBE) on a relaxed La2Si3Ni4Ge crystal.

```
La2Si3Ni4Ge
1.0
-3.326 0.744 -2.348
-2.412 -0.186 3.357
1.163 9.492 1.362
La Si Ni Ge
2 3 4 1
Direct
0.500 0.000 0.249
0.000 0.500 0.751
0.000 0.000 0.500
0.500 0.000 0.879
0.000 0.500 0.121
0.500 0.500 0.000
0.000 0.000 0.000
0.500 0.000 0.628
0.000 0.500 0.372
0.500 0.500 0.500
```

Output
* raw formation energy: -0.755 eV per atom

3.
VASP calculation (PBE) on a relaxed La2SiNi6Ge crystal.

```
La2SiNi6Ge
1.0
6.289 0.009 -0.108
0.001 6.136 -0.008
3.070 3.064 4.332
La Si Ni Ge
2 1 6 1
Direct
0.651 0.217 0.566
0.349 0.783 0.434
0.000 0.000 0.000
0.139 0.248 0.510
0.860 0.758 0.892
0.138 0.648 0.104
0.862 0.352 0.896
0.140 0.242 0.108
0.861 0.752 0.490
0.500 0.500 0.000
```

Output
* raw formation energy: -0.453 eV per atom

4.
VASP calculation (PBE) on a relaxed La2SmNi2Ge2 crystal.

```
La2SmNi2Ge2
1.0
4.285 0.000 0.000
2.143 3.711 0.000
2.143 1.237 9.823
La Sm Ni Ge
2 1 2 2
Direct
0.124 0.124 0.627
0.876 0.876 0.373
0.000 0.000 0.000
0.605 0.605 0.185
0.395 0.395 0.815
0.731 0.731 0.806
0.269 0.269 0.194
```

5.
VASP calculation (PBE) on a relaxed LaTbNi2Ge2 crystal.

```
LaTbNi2Ge2
1.0
4.151 0.000 0.000
-2.076 3.595 0.000
0.000 0.000 8.091
La Tb Ni Ge
1 1 2 2
Direct
0.000 0.000 0.000
0.000 0.000 0.500
0.667 0.333 0.271
0.333 0.667 0.729
0.667 0.333 0.737
0.333 0.667 0.263
```

6.
VASP calculation (PBE) on a relaxed La2TcNiGe6 crystal.

```
La2TcNiGe6
1.0
6.478 0.000 0.000
0.000 7.176 0.000
0.000 0.000 8.905
La Tc Ni Ge
4 2 2 12
Direct
0.500 0.751 0.239
0.000 0.249 0.739
0.500 0.751 0.761
0.000 0.249 0.261
0.500 0.103 0.500
0.000 0.897 0.000
0.000 0.625 0.500
0.500 0.375 0.000
0.500 0.283 0.258
0.500 0.283 0.742
0.000 0.717 0.242
0.000 0.717 0.758
0.191 0.925 0.500
0.809 0.925 0.500
0.306 0.442 0.500
0.694 0.442 0.500
0.806 0.558 0.000
0.194 0.558 0.000
0.309 0.075 0.000
0.691 0.075 0.000
```

It is found that the spin magnetization values, taken in the order of the records, are 0.00; 0.00; 0.00; 0.00; 0.00; 0.00 μB/atom.
It is found that the final energy values, taken in the order of the records, are -5.920; -6.141; -5.911; -5.668; -5.797; -5.800 eV/atom.